Entry 1:
The following is a DFT calculation (PBE) of an optimized crystal structure of CeZnCuRh.

Cell: 6.5909 6.5909 6.5909 Å, 90.00 90.00 90.00°
Closest atoms and distances in Å follow each position.
Space group F-43m (No. 216)
Inequivalent atoms, fractional coordinates:
1 Ce 0.0000 0.0000 0.0000 x4  4 Rh 2.85, 4 Cu 2.85
2 Zn 0.0000 0.0000 0.5000 x4  4 Cu 2.85, 4 Rh 2.85
3 Cu 0.2500 0.2500 0.7500 x4  4 Ce 2.85, 4 Zn 2.85
4 Rh 0.2500 0.2500 0.2500 x4  4 Zn 2.85, 4 Ce 2.85

**V**: 17.9 A^3/atom
**Raw total energy**: -4.970 eV per atom

---

Entry 2:
The following is a DFT calculation (PBE) of an optimized crystal structure of Ce2Zn3Cu12Rh.

Cell: 6.0818 6.0818 27.6932 Å, 90.00 90.00 120.00°
Closest atoms and distances in Å follow each position.
Space group R-3m (No. 166, hexagonal axes)
Inequivalent atoms, fractional coordinates:
1 Ce 0.0000 0.0000 0.1508 x6  12 Cu 3.12-3.42
2 Zn 0.0000 0.5000 0.0000 x9  6 Cu 2.40-2.64
3 Cu 0.0475 0.5238 0.0947 x18  4 Cu 2.42-2.61, 1 Rh 2.50, 1 Zn 2.64
4 Cu 0.0721 0.5361 0.6172 x18  4 Cu 2.38-2.42, 2 Zn 2.40
5 Rh 0.0000 0.0000 0.5000 x3  6 Cu 2.50

**V**: 16.4 A^3/atom
**Raw total energy**: -3.868 eV per atom

---

Entry 3:
The following is a DFT calculation (PBE) of an optimized crystal structure of CeZrCuRh.

Cell: 6.8020 6.8020 6.8020 Å, 90.00 90.00 90.00°
Closest atoms and distances in Å follow each position.
Space group F-43m (No. 216)
Inequivalent atoms, fractional coordinates:
1 Ce 0.0000 0.0000 0.0000 x4  4 Cu 2.95, 4 Rh 2.95
2 Zr 0.0000 0.0000 0.5000 x4  4 Cu 2.95, 4 Rh 2.95
3 Cu 0.2500 0.2500 0.2500 x4  4 Zr 2.95, 4 Ce 2.95
4 Rh 0.2500 0.2500 0.7500 x4  4 Zr 2.95, 4 Ce 2.95

**V**: 19.7 A^3/atom
**Raw total energy**: -6.791 eV per atom

---

Question: Number 2 is which compound?
Answer: Ce2Zn3Cu12Rh

---

Question: What is the formula in the first record?
Answer: CeZnCuRh

---

Question: Among the records above, which one has the highest raw total energy?
Answer: Ce2Zn3Cu12Rh